[1]
FeCoAgSb | GGA-PBE | optimized geometry

**Electronic total energy**: -5.299 eV/atom
**Energy above the most stable polymorph in this dataset**: 0.0000 eV per atom
**Symmetry**: F-43m, No. 216

a = 4.393 Å, b = 4.393 Å, c = 4.393 Å
α = 60.00°, β = 60.00°, γ = 60.00°
Sites, in units of the cell vectors:
Fe 0.000 0.000 0.000
Co 0.500 0.500 0.500
Ag 0.750 0.750 0.750
Sb 0.250 0.250 0.250

[2]
Zr4Sb2AsP | GGA-PBE | optimized geometry

**Electronic total energy**: -7.618 eV/atom
**Symmetry**: P-3m1, No. 164

a = 3.885 Å, b = 3.885 Å, c = 13.447 Å
α = 90.00°, β = 90.00°, γ = 120.00°
Sites, in units of the cell vectors:
Zr 0.333 0.667 0.101
Zr 0.333 0.667 0.391
Zr 0.667 0.333 0.609
Zr 0.667 0.333 0.899
Sb 0.333 0.667 0.753
Sb 0.667 0.333 0.247
As 0.000 0.000 0.500
P 0.000 0.000 0.000

[3]
KIrAu | GGA-PBE | optimized geometry

**Electronic total energy**: -3.313 eV/atom
**Energy above the most stable polymorph in this dataset**: 0.0000 eV per atom
**Symmetry**: F-43m, No. 216

a = 4.727 Å, b = 4.727 Å, c = 4.727 Å
α = 60.00°, β = 60.00°, γ = 60.00°
Sites, in units of the cell vectors:
K 0.000 0.000 0.000
Ir 0.750 0.750 0.750
Au 0.500 0.500 0.500

[4]
Gd | GGA-PBE | optimized geometry

**Electronic total energy**: -4.458 eV/atom
**Formation enthalpy at 0 K**: 0.196 eV per atom
**Energy above the most stable polymorph in this dataset**: 0.1964 eV per atom
**Symmetry**: I-43m, No. 217

a = 10.727 Å, b = 10.727 Å, c = 10.727 Å
α = 109.47°, β = 109.47°, γ = 109.47°
Sites, in units of the cell vectors:
Gd 0.000 0.000 0.000
Gd 0.000 0.000 0.350
Gd 0.000 0.312 0.579
Gd 0.000 0.350 0.000
Gd 0.000 0.579 0.312
Gd 0.000 0.624 0.811
Gd 0.000 0.811 0.624
Gd 0.187 0.376 0.376
Gd 0.189 0.189 0.813
Gd 0.189 0.813 0.189
Gd 0.266 0.688 0.688
Gd 0.312 0.000 0.579
Gd 0.312 0.579 0.000
Gd 0.350 0.000 0.000
Gd 0.376 0.187 0.376
Gd 0.376 0.376 0.187
Gd 0.421 0.421 0.734
Gd 0.421 0.734 0.421
Gd 0.579 0.000 0.312
Gd 0.579 0.312 0.000
Gd 0.624 0.000 0.811
Gd 0.624 0.811 0.000
Gd 0.650 0.650 0.650
Gd 0.688 0.266 0.688
Gd 0.688 0.688 0.266
Gd 0.734 0.421 0.421
Gd 0.811 0.000 0.624
Gd 0.811 0.624 0.000
Gd 0.813 0.189 0.189

[5]
MgZnTeO | GGA-PBE | optimized geometry

**Electronic total energy**: -3.523 eV/atom
**Energy above the most stable polymorph in this dataset**: 0.4948 eV per atom
**Symmetry**: P6_3mc, No. 186

a = 3.728 Å, b = 3.728 Å, c = 12.609 Å
α = 90.00°, β = 90.00°, γ = 120.00°
Sites, in units of the cell vectors:
Mg 0.000 0.000 0.000
Mg 0.000 0.000 0.500
Zn 0.333 0.667 0.303
Zn 0.667 0.333 0.803
Te 0.333 0.667 0.635
Te 0.667 0.333 0.135
O 0.000 0.000 0.348
O 0.000 0.000 0.848

[6]
FeBiIrW | GGA-PBE | optimized geometry

**Electronic total energy**: -7.859 eV/atom
**Energy above the most stable polymorph in this dataset**: 0.0000 eV per atom
**Symmetry**: F-43m, No. 216

a = 4.560 Å, b = 4.560 Å, c = 4.560 Å
α = 60.00°, β = 60.00°, γ = 60.00°
Sites, in units of the cell vectors:
Fe 0.000 0.000 0.000
Bi 0.750 0.750 0.750
Ir 0.250 0.250 0.250
W 0.500 0.500 0.500

[7]
Tb3GdPt4 | GGA-PBE | optimized geometry

**Electronic total energy**: -6.613 eV/atom
**Formation enthalpy at 0 K**: -1.268 eV per atom
**Symmetry**: Pm, No. 6

a = 5.590 Å, b = 4.522 Å, c = 7.078 Å
α = 90.00°, β = 90.09°, γ = 90.00°
Sites, in units of the cell vectors:
Tb 0.000 0.000 0.000
Tb 0.220 0.000 0.499
Tb 0.720 0.500 0.364
Gd 0.500 0.500 0.864
Pt 0.014 0.500 0.726
Pt 0.205 0.500 0.227
Pt 0.515 0.000 0.138
Pt 0.706 0.000 0.636

[8]
U3CuIr | GGA-PBE | optimized geometry

**Electronic total energy**: -8.397 eV/atom
**Formation enthalpy at 0 K**: 0.895 eV per atom
**Symmetry**: P6_3/mmc, No. 194

a = 6.962 Å, b = 6.962 Å, c = 5.054 Å
α = 90.00°, β = 90.00°, γ = 120.00°
Sites, in units of the cell vectors:
U 0.090 0.545 0.250
U 0.455 0.545 0.250
U 0.455 0.910 0.250
U 0.545 0.090 0.750
U 0.545 0.455 0.750
U 0.910 0.455 0.750
Cu 0.333 0.667 0.750
Cu 0.667 0.333 0.250
Ir 0.000 0.000 0.250
Ir 0.000 0.000 0.750